1.
Below is Ho4In20Ni11 after structural relaxation, with properties calculated at the PBE-GGA level.

```
Ho4In20Ni11
1.0
-8.7270 -7.0407 -2.6183
-5.7349 -8.3704 -5.4438
10.6622 -2.6709 12.5480
In Ni Ho
20 11 4
Cartesian
-0.9029 -14.9583 6.0835
-8.0143 -14.8313 -1.5071
7.5094 -3.0865 9.4048
-11.3091 -14.9955 -4.9189
4.2147 -3.2506 5.9930
0.8628 -0.4175 1.1102
-2.3266 -6.8136 0.7428
-3.3262 -13.4948 2.8285
-0.4735 -4.5871 1.6574
-3.8014 -9.3488 0.3741
1.0135 -5.9066 3.8530
-5.6604 -6.1632 -3.0938
3.2044 -7.8736 7.0988
-4.6625 -17.6644 3.3756
-2.8968 -3.1236 -1.5976
0.0017 -8.7332 4.1118
-1.4731 -11.2684 3.7431
-7.0041 -10.2083 -2.6129
-4.8132 -12.1753 0.6328
1.8607 -11.9187 7.5796
-9.8730 -16.1334 -2.8626
6.0733 -1.9485 7.3484
-0.8847 -2.3811 0.1837
-6.7078 -12.5167 -1.2128
-1.8998 -9.0410 2.2429
-0.0799 -12.4095 5.7554
-2.9150 -15.7008 4.3021
-5.2575 -8.3416 -1.6418
2.9081 -5.5652 5.6987
-3.7198 -5.6725 -1.2696
1.4578 -9.7404 6.1277
-9.2993 -12.3466 -4.0372
5.4996 -5.7353 8.5230
1.8022 -2.7241 3.1905
-5.6019 -15.3578 1.2953
```

***

2.
Below is AlFePt after structural relaxation, with properties calculated at the PBE-GGA level.

```
AlFePt
1.0
0.0000 2.8878 2.8878
2.8878 0.0000 2.8878
2.8878 2.8878 0.0000
Fe Pt Al
1 1 1
Cartesian
4.3316 4.3316 4.3316
0.0000 0.0000 0.0000
1.4439 1.4439 1.4439
```

***

3.
Below is RbErNiS3 after structural relaxation, with properties calculated at the PBE-GGA level.

```
RbErNiS3
1.0
-8.1500 -3.1736 2.0012
1.6354 -3.0485 1.8260
2.9215 5.6710 6.8510
S Ni Rb Er
6 2 2 2
Cartesian
-2.6886 -1.3395 6.4569
-1.4526 -2.6584 3.1480
-6.2059 -4.4489 4.4159
2.6128 3.8979 6.2623
-0.9045 0.7884 4.2213
-2.1405 2.1073 7.5303
-1.0421 -1.3445 4.9738
-2.5511 0.7934 5.7045
-4.6628 -1.6438 3.5269
1.0697 1.0927 7.1514
-3.0133 -0.0353 8.9251
-0.5798 -0.5158 1.7532
```

Output
ΔE to the lowest computed polymorph = 0.00 eV per formula unit

***

4.
Below is SmErAs after structural relaxation, with properties calculated at the PBE-GGA level.

```
SmErAs
1.0
0.0000 3.4259 3.4259
3.4259 0.0000 3.4259
3.4259 3.4259 0.0000
Er Sm As
1 1 1
Cartesian
1.7129 1.7129 1.7129
5.1388 5.1388 5.1388
0.0000 0.0000 0.0000
```

***

Number 1: uncorrected energy -4.13 eV/atom. Number 2: uncorrected energy -6.40 eV/atom. Number 3: uncorrected energy -5.22 eV/atom. Number 4: uncorrected energy -5.40 eV/atom.